(1)
Compound: VPRu
Source: Alexandria via LeMat-Bulk
Functional: PBE
Structure: relaxed

Summary:
calculated volume = 13.11 Å³ per atom
M_tot = 0.00 μB/cell

abc: 2.7858 4.0383 4.0383
angles: 120.00 90.00 90.00
Atoms (fractional coordinates):
P 0.1666 0.0000 0.0000
V 0.6669 0.6667 0.3333
Ru 0.1665 0.3333 0.6667


(2)
Compound: SrTi2Fe
Source: Alexandria via LeMat-Bulk
Functional: PBE
Structure: relaxed

Summary:
calculated volume = 18.17 Å³ per atom
M_tot = 0.00 μB/cell

abc: 4.6843 4.6843 4.6843
angles: 60.00 60.00 60.00
Atoms (fractional coordinates):
Sr 0.5000 0.5000 0.5000
Ti 0.7500 0.7500 0.7500
Ti 0.2500 0.2500 0.2500
Fe 0.0000 0.0000 0.0000


The records above yield E_form values of -1.57 3.18 eV/f.u., respectively.
The records above yield calculated density values of 7.7 5.5 g cm⁻³, respectively.